Below is crystalline BeSe2Cl at its relaxed geometry, with properties calculated at the PBE level.

```
data_BeSe2Cl
_space_group_name_H-M_alt 'P 1'
_space_group_IT_number 1
_cell_length_a 3.646
_cell_length_b 3.646
_cell_length_c 13.494
_cell_angle_alpha 90.00
_cell_angle_beta 90.00
_cell_angle_gamma 90.00
loop_
_space_group_symop_operation_xyz
'x,y,z'
loop_
_atom_site_label
_atom_site_fract_x
_atom_site_fract_y
_atom_site_fract_z
Be1 0.000 0.000 0.000
Be2 0.500 0.500 0.500
Se1 0.000 0.500 0.250
Se2 0.000 0.500 0.750
Se3 0.500 0.000 0.250
Se4 0.500 0.000 0.750
Cl1 0.000 0.000 0.500
Cl2 0.500 0.500 0.000
```

Energy above the lowest structure with this stoichiometry in eV per atom: 0.7633
ΔE_f (raw) in eV per atom: 0.331
Space group: I4/mmm
M_tot in μB/cell: 0.0